1.
Density functional theory data (PBE) for a relaxed NaPC crystal.

The value obtained for the magnetization is 0.000 μB per formula unit. The formation energy from the elements comes out at 0.208 eV per atom. The calculation puts the density of states at the Fermi level at 0.632 states/eV per atom.

It has space group C2/m (No. 12), with a = 6.7544 Å, b = 5.9588 Å, c = 6.2745 Å, α = 90.00°, β = 105.36° and γ = 90.00°. The distinct sites, in fractional coordinates, are Na at (0.2355, 0.0000, 0.2428), P at (0.2087, 0.0000, 0.7048) and C at (0.0812, 0.5000, 0.0833).


2.
Density functional theory data (PBE) for a relaxed Na3PC crystal.

The value obtained for the magnetization is 2.838 μB per formula unit. The formation energy from the elements comes out at 0.964 eV per atom. The calculation puts the density of states at the Fermi level at 1.480 states/eV per atom.

It has space group Pm-3m (No. 221), with a = 4.8307 Å, b = 4.8307 Å, c = 4.8307 Å, α = 90.00°, β = 90.00° and γ = 90.00°. The distinct sites, in fractional coordinates, are Na at (0.0000, 0.0000, 0.5000), P at (0.5000, 0.5000, 0.5000) and C at (0.0000, 0.0000, 0.0000).


3.
Density functional theory data (PBE) for a relaxed Na2PC crystal.

The value obtained for the magnetization is 1.000 μB per formula unit. The formation energy from the elements comes out at 1.229 eV per atom. The calculation puts the density of states at the Fermi level at 0.306 states/eV per atom.

It has space group Fm-3m (No. 225), with a = 6.5148 Å, b = 6.5148 Å, c = 6.5148 Å, α = 90.00°, β = 90.00° and γ = 90.00°. The distinct sites, in fractional coordinates, are Na at (0.2500, 0.2500, 0.2500), P at (0.0000, 0.0000, 0.0000) and C at (0.0000, 0.0000, 0.5000).


4.
Density functional theory data (PBE) for a relaxed Na2PC crystal.

The value obtained for the magnetization is 0.000 μB per formula unit. The formation energy from the elements comes out at 0.524 eV per atom. The calculation puts the density of states at the Fermi level at 0.269 states/eV per atom.

It has space group I4_1/amd (No. 141, origin choice 2), with a = 10.1184 Å, b = 10.1184 Å, c = 3.6846 Å, α = 90.00°, β = 90.00° and γ = 90.00°. The distinct sites, in fractional coordinates, are Na at (0.0000, 0.0000, 0.0000), P at (0.0000, 0.2500, 0.3750) and C at (0.0000, 0.2500, 0.8750).


5.
Density functional theory data (PBE) for a relaxed NaPCS2 crystal.

The value obtained for the magnetization is 0.000 μB per formula unit. The calculation puts the formation energy from raw total energies at 0.781 eV/atom. The calculation puts the density of states at the Fermi level at 0.486 states/eV per atom.

It has space group P4/mmm (No. 123), with a = 4.5493 Å, b = 4.5493 Å, c = 3.7956 Å, α = 90.00°, β = 90.00° and γ = 90.00°. The distinct sites, in fractional coordinates, are Na at (0.0000, 0.0000, 0.0000), P at (0.5000, 0.5000, 0.0000), C at (0.5000, 0.5000, 0.5000) and S at (0.0000, 0.5000, 0.5000).


6.
Density functional theory data (PBE) for a relaxed NaPCS2 crystal.

The value obtained for the magnetization is 0.024 μB per formula unit. The calculation puts the formation energy from raw total energies at 2.562 eV/atom. The calculation puts the density of states at the Fermi level at 1.617 states/eV per atom.

It has space group P4/mmm (No. 123), with a = 4.8078 Å, b = 4.8078 Å, c = 4.8622 Å, α = 90.00°, β = 90.00° and γ = 90.00°. The distinct sites, in fractional coordinates, are Na at (0.0000, 0.0000, 0.0000), P at (0.0000, 0.0000, 0.5000), C at (0.5000, 0.5000, 0.5000) and S at (0.0000, 0.5000, 0.0000).